# Na3AsS

Na3AsS after structural relaxation (PBE-GGA, Alexandria).

- formation energy without anion corrections (eV per atom) = -0.360
- total magnetic moment (μB per formula unit) = 2.00

a b c (Å): 5.2652 5.2652 5.2652
angles (deg): 90.00 90.00 90.00
Space group Pm-3m (No. 221)
Unique sites:
Na1 0.0000 0.0000 0.5000 (multiplicity 3)
As1 0.5000 0.5000 0.5000 (multiplicity 1)
S1 0.0000 0.0000 0.0000 (multiplicity 1)